Record 1
Mg2AlCr: relaxed, GGA-PBE.

Summary:
- formation energy (meV per atom) = 254
- N(E_F) (states/eV/f.u.) = 2.52
- symmetry = C2/m (12)
- total magnetic moment (μB/f.u.) = 3.4

Cell lengths 5.590, 5.590, 2.911 Å; angles 101.48, 101.48, 119.07 degrees
Fractional coordinates of all 4 atoms:
Mg 0.000 0.500 0.000
Mg 0.500 0.000 0.000
Al 0.000 0.000 0.500
Cr 0.500 0.500 0.500

***

Record 2
Ca3IrI: relaxed, GGA-PBE.

Summary:
- raw formation energy (eV per atom) = -0.463
- N(E_F) (states/eV/f.u.) = 3.79
- symmetry = Pm-3m (221)
- total magnetic moment (μB/f.u.) = 0.0
- energy above the lowest structure with this stoichiometry (kJ/mol of formula units) = 0

Cell lengths 5.569, 5.569, 5.569 Å; angles 90.00, 90.00, 90.00 degrees
Fractional coordinates of all 5 atoms:
Ca 0.000 0.000 0.500
Ca 0.000 0.500 0.000
Ca 0.500 0.000 0.000
Ir 0.000 0.000 0.000
I 0.500 0.500 0.500

***

Record 3
SrIn2Rh: relaxed, GGA-PBE.

Summary:
- formation energy (meV per atom) = -336
- N(E_F) (states/eV/f.u.) = 3.42
- symmetry = P4/mmm (123)
- total magnetic moment (μB/f.u.) = 0.0

Cell lengths 3.448, 3.448, 7.948 Å; angles 90.00, 90.00, 90.00 degrees
Fractional coordinates of all 4 atoms:
Sr 0.000 0.000 0.000
In 0.500 0.500 0.311
In 0.500 0.500 0.689
Rh 0.000 0.000 0.500

***

Record 4
Pm2Al4Pt3Au: relaxed, GGA-PBE.

Summary:
- formation energy (meV per atom) = -1027
- N(E_F) (states/eV/f.u.) = 6.62
- symmetry = P-4m2 (115)
- total magnetic moment (μB/f.u.) = 0.0

Cell lengths 4.301, 4.301, 10.494 Å; angles 90.00, 90.00, 90.00 degrees
Fractional coordinates of all 10 atoms:
Pm 0.000 0.500 0.244
Pm 0.500 0.000 0.756
Al 0.000 0.000 0.000
Al 0.000 0.500 0.634
Al 0.500 0.000 0.366
Al 0.500 0.500 0.000
Pt 0.000 0.500 0.869
Pt 0.500 0.000 0.131
Pt 0.500 0.500 0.500
Au 0.000 0.000 0.500

***

Number 1: total energy -0.143 Ha/atom. Number 2: total energy -0.138 Ha/atom. Number 3: total energy -0.146 Ha/atom. Number 4: total energy -0.206 Ha/atom.